P.
In3AgC: optimized geometry, GGA-PBE.

The space group is Pm-3m (No. 221) and the conventional cell measures 4.764, 4.764 and 4.764 Å, with angles of 90.00, 90.00 and 90.00 degrees. Symmetry generates all atoms from In at (0.000, 0.000, 0.500), Ag at (0.500, 0.500, 0.500) and C at (0.000, 0.000, 0.000).

Its calculated density is 7.1 g/cm³.


Q.
In3AgC: optimized geometry, GGA-PBE.

The space group is Pm-3m (No. 221) and the conventional cell measures 5.314, 5.314 and 5.314 Å, with angles of 90.00, 90.00 and 90.00 degrees. Symmetry generates all atoms from In at (0.000, 0.000, 0.500), Ag at (0.000, 0.000, 0.000) and C at (0.500, 0.500, 0.500).

Its calculated density is 5.1 g/cm³.


Quick look at relative energies in meV per atom: P 0; Q 665.


P.
AgIrC3: optimized geometry, GGA-PBE.

The space group is Pm-3m (No. 221) and the conventional cell measures 4.024, 4.024 and 4.024 Å, with angles of 90.00, 90.00 and 90.00 degrees. Symmetry generates all atoms from Ag at (0.000, 0.000, 0.000), Ir at (0.500, 0.500, 0.500) and C at (0.000, 0.500, 0.500).

Its calculated density is 8.6 g/cm³.


Q.
AgIrC3: optimized geometry, GGA-PBE.

The space group is Pm-3m (No. 221) and the conventional cell measures 4.023, 4.023 and 4.023 Å, with angles of 90.00, 90.00 and 90.00 degrees. Symmetry generates all atoms from Ag at (0.000, 0.000, 0.000), Ir at (0.500, 0.500, 0.500) and C at (0.000, 0.000, 0.500).

Its calculated density is 8.6 g/cm³.


Quick look at relative energies in meV per atom: P 0; Q 1329.


P.
AgIr3C: optimized geometry, GGA-PBE.

The space group is Pm-3m (No. 221) and the conventional cell measures 4.811, 4.811 and 4.811 Å, with angles of 90.00, 90.00 and 90.00 degrees. Symmetry generates all atoms from Ag at (0.000, 0.000, 0.000), Ir at (0.000, 0.000, 0.500) and C at (0.500, 0.500, 0.500).

Its calculated density is 10.4 g/cm³.


Q.
AgIr3C: optimized geometry, GGA-PBE.

The space group is Pm-3m (No. 221) and the conventional cell measures 4.122, 4.122 and 4.122 Å, with angles of 90.00, 90.00 and 90.00 degrees. Symmetry generates all atoms from Ag at (0.000, 0.000, 0.000), Ir at (0.000, 0.500, 0.500) and C at (0.500, 0.500, 0.500).

Its calculated density is 16.5 g/cm³.


Quick look at relative energies in meV per atom: P 3302; Q 0.


P.
Mg2AgIrC: optimized geometry, GGA-PBE.

The space group is P4/mmm (No. 123) and the conventional cell measures 4.505, 4.505 and 3.871 Å, with angles of 90.00, 90.00 and 90.00 degrees. Symmetry generates all atoms from Mg at (0.000, 0.500, 0.000), Ag at (0.000, 0.000, 0.500), Ir at (0.500, 0.500, 0.500) and C at (0.500, 0.500, 0.000).

Its calculated density is 7.6 g/cm³.


Q.
Mg2AgIrC: optimized geometry, GGA-PBE.

The space group is P4/mmm (No. 123) and the conventional cell measures 4.992, 4.992 and 3.796 Å, with angles of 90.00, 90.00 and 90.00 degrees. Symmetry generates all atoms from Mg at (0.000, 0.500, 0.000), Ag at (0.000, 0.000, 0.000), Ir at (0.500, 0.500, 0.500) and C at (0.000, 0.000, 0.500).

Its calculated density is 6.3 g/cm³.


Quick look at relative energies in meV per atom: P 0; Q 1399.


P.
Sc2AgIrC: optimized geometry, GGA-PBE.

The space group is P4/mmm (No. 123) and the conventional cell measures 4.629, 4.629 and 3.879 Å, with angles of 90.00, 90.00 and 90.00 degrees. Symmetry generates all atoms from Sc at (0.000, 0.500, 0.000), Ag at (0.000, 0.000, 0.500), Ir at (0.500, 0.500, 0.500) and C at (0.500, 0.500, 0.000).

Its calculated density is 8.0 g/cm³.


Q.
Sc2AgIrC: optimized geometry, GGA-PBE.

The space group is P4/mmm (No. 123) and the conventional cell measures 5.157, 5.157 and 3.857 Å, with angles of 90.00, 90.00 and 90.00 degrees. Symmetry generates all atoms from Sc at (0.000, 0.500, 0.000), Ag at (0.000, 0.000, 0.500), Ir at (0.500, 0.500, 0.000) and C at (0.500, 0.500, 0.500).

Its calculated density is 6.5 g/cm³.


Quick look at relative energies in meV per atom: P 0; Q 699.


P.
KAgCS2: optimized geometry, GGA-PBE.

The space group is P4/mmm (No. 123) and the conventional cell measures 4.647, 4.647 and 4.274 Å, with angles of 90.00, 90.00 and 90.00 degrees. Symmetry generates all atoms from K at (0.000, 0.000, 0.000), Ag at (0.500, 0.500, 0.000), C at (0.500, 0.500, 0.500) and S at (0.000, 0.500, 0.500).

Its calculated density is 4.0 g/cm³.


Q.
KAgCS2: optimized geometry, GGA-PBE.

The space group is P4/mmm (No. 123) and the conventional cell measures 4.273, 4.273 and 5.110 Å, with angles of 90.00, 90.00 and 90.00 degrees. Symmetry generates all atoms from K at (0.000, 0.000, 0.000), Ag at (0.500, 0.500, 0.000), C at (0.000, 0.000, 0.500) and S at (0.000, 0.500, 0.500).

Its calculated density is 4.0 g/cm³.


Quick look at relative energies in meV per atom: P 0; Q 338.


P.
La2AgRuC: optimized geometry, GGA-PBE.

The space group is P4/mmm (No. 123) and the conventional cell measures 5.696, 5.696 and 3.842 Å, with angles of 90.00, 90.00 and 90.00 degrees. Symmetry generates all atoms from La at (0.000, 0.500, 0.000), Ag at (0.000, 0.000, 0.000), Ru at (0.500, 0.500, 0.500) and C at (0.000, 0.000, 0.500).

Its calculated density is 6.6 g/cm³.


Q.
La2AgRuC: optimized geometry, GGA-PBE.

The space group is P4/mmm (No. 123) and the conventional cell measures 5.355, 5.355 and 3.928 Å, with angles of 90.00, 90.00 and 90.00 degrees. Symmetry generates all atoms from La at (0.000, 0.500, 0.000), Ag at (0.000, 0.000, 0.500), Ru at (0.500, 0.500, 0.500) and C at (0.500, 0.500, 0.000).

Its calculated density is 7.4 g/cm³.


Quick look at relative energies in meV per atom: P 1268; Q 0.


P.
LiAg2C2: optimized geometry, GGA-PBE.

The space group is P4/mbm (No. 127) and the conventional cell measures 5.728, 5.728 and 4.146 Å, with angles of 90.00, 90.00 and 90.00 degrees. Symmetry generates all atoms from Li at (0.000, 0.000, 0.000), Ag at (0.184, 0.316, 0.500) and C at (0.080, 0.420, 0.000).

Its calculated density is 6.0 g/cm³.


Q.
LiAg2C2: optimized geometry, GGA-PBE.

The space group is I4/mmm (No. 139) and the conventional cell measures 3.860, 3.860 and 8.859 Å, with angles of 90.00, 90.00 and 90.00 degrees. Symmetry generates all atoms from Li at (0.000, 0.000, 0.000), Ag at (0.000, 0.500, 0.250) and C at (0.000, 0.000, 0.426).

Its calculated density is 6.2 g/cm³.


Quick look at relative energies in meV per atom: P 0; Q 119.


P.
Li2YAgC: optimized geometry, GGA-PBE.

The space group is P4/mmm (No. 123) and the conventional cell measures 4.489, 4.489 and 4.203 Å, with angles of 90.00, 90.00 and 90.00 degrees. Symmetry generates all atoms from Li at (0.000, 0.500, 0.000), Y at (0.000, 0.000, 0.500), Ag at (0.500, 0.500, 0.000) and C at (0.500, 0.500, 0.500).

Its calculated density is 4.4 g/cm³.


Q.
Li2YAgC: optimized geometry, GGA-PBE.

The space group is P4/mmm (No. 123) and the conventional cell measures 6.211, 6.211 and 5.655 Å, with angles of 90.00, 90.00 and 90.00 degrees. Symmetry generates all atoms from Li at (0.000, 0.500, 0.000), Y at (0.000, 0.000, 0.000), Ag at (0.000, 0.000, 0.500) and C at (0.500, 0.500, 0.500).

Its calculated density is 1.7 g/cm³.


Quick look at relative energies in meV per atom: P 0; Q 1599.


P.
MgAg3C: optimized geometry, GGA-PBE.

The space group is Pm-3m (No. 221) and the conventional cell measures 4.370, 4.370 and 4.370 Å, with angles of 90.00, 90.00 and 90.00 degrees. Symmetry generates all atoms from Mg at (0.000, 0.000, 0.000), Ag at (0.000, 0.500, 0.500) and C at (0.500, 0.500, 0.500).

Its calculated density is 7.2 g/cm³.


Q.
MgAg3C: optimized geometry, GGA-PBE.

The space group is Pm-3m (No. 221) and the conventional cell measures 4.945, 4.945 and 4.945 Å, with angles of 90.00, 90.00 and 90.00 degrees. Symmetry generates all atoms from Mg at (0.000, 0.000, 0.000), Ag at (0.000, 0.000, 0.500) and C at (0.500, 0.500, 0.500).

Its calculated density is 4.9 g/cm³.


Quick look at relative energies in meV per atom: P 0; Q 1323.


P.
Mn3AgC: optimized geometry, GGA-PBE.

The space group is Pm-3m (No. 221) and the conventional cell measures 4.884, 4.884 and 4.884 Å, with angles of 90.00, 90.00 and 90.00 degrees. Symmetry generates all atoms from Mn at (0.000, 0.000, 0.500), Ag at (0.000, 0.000, 0.000) and C at (0.500, 0.500, 0.500).

Its calculated density is 4.1 g/cm³.


Q.
Mn3AgC: optimized geometry, GGA-PBE.

The space group is Pm-3m (No. 221) and the conventional cell measures 3.963, 3.963 and 3.963 Å, with angles of 90.00, 90.00 and 90.00 degrees. Symmetry generates all atoms from Mn at (0.000, 0.000, 0.500), Ag at (0.500, 0.500, 0.500) and C at (0.000, 0.000, 0.000).

Its calculated density is 7.6 g/cm³.


Quick look at relative energies in meV per atom: P 2166; Q 0.


P.
AgMo3C: optimized geometry, GGA-PBE.

The space group is Pm-3m (No. 221) and the conventional cell measures 4.177, 4.177 and 4.177 Å, with angles of 90.00, 90.00 and 90.00 degrees. Symmetry generates all atoms from Ag at (0.000, 0.000, 0.000), Mo at (0.000, 0.500, 0.500) and C at (0.500, 0.500, 0.500).

Its calculated density is 9.3 g/cm³.


Q.
AgMo3C: optimized geometry, GGA-PBE.

The space group is Pm-3m (No. 221) and the conventional cell measures 4.781, 4.781 and 4.781 Å, with angles of 90.00, 90.00 and 90.00 degrees. Symmetry generates all atoms from Ag at (0.000, 0.000, 0.000), Mo at (0.000, 0.000, 0.500) and C at (0.500, 0.500, 0.500).

Its calculated density is 6.2 g/cm³.


Quick look at relative energies in meV per atom: P 0; Q 3413.


P.
Ag3MoC: optimized geometry, GGA-PBE.

The space group is Pm-3m (No. 221) and the conventional cell measures 4.290, 4.290 and 4.290 Å, with angles of 90.00, 90.00 and 90.00 degrees. Symmetry generates all atoms from Ag at (0.000, 0.000, 0.500), Mo at (0.500, 0.500, 0.500) and C at (0.000, 0.000, 0.000).

Its calculated density is 9.1 g/cm³.


Q.
Ag3MoC: optimized geometry, GGA-PBE.

The space group is Pm-3m (No. 221) and the conventional cell measures 5.127, 5.127 and 5.127 Å, with angles of 90.00, 90.00 and 90.00 degrees. Symmetry generates all atoms from Ag at (0.000, 0.000, 0.500), Mo at (0.000, 0.000, 0.000) and C at (0.500, 0.500, 0.500).

Its calculated density is 5.3 g/cm³.


Quick look at relative energies in meV per atom: P 0; Q 1513.


P.
AgCN2: optimized geometry, GGA-PBE.

The space group is I-42d (No. 122) and the conventional cell measures 4.596, 4.596 and 6.676 Å, with angles of 90.00, 90.00 and 90.00 degrees. Symmetry generates all atoms from Ag at (0.000, 0.000, 0.000), C at (0.000, 0.000, 0.500) and N at (0.122, 0.250, 0.625).

Its calculated density is 7.0 g/cm³.


Q.
AgCN2: optimized geometry, GGA-PBE.

The space group is Fm-3m (No. 225) and the conventional cell measures 5.401, 5.401 and 5.401 Å, with angles of 90.00, 90.00 and 90.00 degrees. Symmetry generates all atoms from Ag at (0.000, 0.000, 0.000), C at (0.000, 0.000, 0.500) and N at (0.250, 0.250, 0.250).

Its calculated density is 6.2 g/cm³.


R.
AgCN2: optimized geometry, GGA-PBE.

The space group is R-3m (No. 166, hexagonal axes) and the conventional cell measures 3.5788, 3.5788 and 14.4913 Å, with angles of 90.00, 90.00 and 120.00 degrees. Symmetry generates all atoms from Ag at (0.0000, 0.0000, 0.0000), C at (0.0000, 0.0000, 0.5000) and N at (0.0000, 0.0000, 0.4144).

Its calculated density is 4.6 g/cm³.


Quick look at relative energies in meV per atom: P 513; Q 2654; R 0.